Entry 1:
A crystal of PrMgNi4 relaxed with PBEsol. Source: Alexandria via LeMat-Bulk, functional SCAN.

The space group is F-43m (No. 216) and the conventional cell measures 6.987, 6.987 and 6.987 Å, with angles of 90.00, 90.00 and 90.00 degrees. The asymmetric unit holds Pr at (0.000, 0.000, 0.000), Mg at (0.250, 0.250, 0.750) and Ni at (0.123, 0.123, 0.377).

The total moment is 0.000 μB/atom. The calculation puts the uncorrected energy at -19.109 eV/atom. Its formation enthalpy at 0 K is -0.28 eV per atom.

Entry 2:
A crystal of MgNi2Pt relaxed with PBEsol. Source: Alexandria via LeMat-Bulk, functional SCAN.

The space group is Cmmm (No. 65) and the conventional cell measures 5.348, 7.015 and 2.716 Å, with angles of 90.00, 90.00 and 90.00 degrees. The asymmetric unit holds Mg at (0.000, 0.000, 0.000), Ni at (0.250, 0.250, 0.500) and Pt at (0.000, 0.500, 0.000).

The total moment is 0.001 μB/atom. The calculation puts the uncorrected energy at -27.136 eV/atom. Its formation enthalpy at 0 K is -0.26 eV per atom.

Entry 3:
A crystal of MgNi2Pt relaxed with PBEsol. Source: Alexandria via LeMat-Bulk, functional SCAN.

The space group is I4/mmm (No. 139) and the conventional cell measures 3.766, 3.766 and 7.228 Å, with angles of 90.00, 90.00 and 90.00 degrees. The asymmetric unit holds Mg at (0.000, 0.000, 0.000), Ni at (0.000, 0.500, 0.250) and Pt at (0.000, 0.000, 0.500).

The total moment is 0.362 μB/atom. The calculation puts the uncorrected energy at -27.179 eV/atom. Its formation enthalpy at 0 K is -0.30 eV per atom.

Entry 4:
A crystal of MgNiPt relaxed with PBEsol. Source: Alexandria via LeMat-Bulk, functional SCAN.

The space group is Imm2 (No. 44) and the conventional cell measures 2.746, 3.746 and 8.079 Å, with angles of 90.00, 90.00 and 90.00 degrees. The asymmetric unit holds Mg at (0.000, 0.000, 0.000), Ni at (0.000, 0.000, 0.670) and Pt at (0.000, 0.000, 0.329).

The total moment is 0.264 μB/atom. The calculation puts the uncorrected energy at -30.849 eV/atom. Its formation enthalpy at 0 K is -0.40 eV per atom.

Entry 5:
A crystal of MgNiTe2Pt relaxed with PBEsol. Source: Alexandria via LeMat-Bulk, functional SCAN.

The space group is P4/mmm (No. 123) and the conventional cell measures 5.173, 5.173 and 4.644 Å, with angles of 90.00, 90.00 and 90.00 degrees. The asymmetric unit holds Mg at (0.000, 0.000, 0.000), Ni at (0.500, 0.500, 0.500), Te at (0.000, 0.500, 0.000) and Pt at (0.000, 0.000, 0.500).

For the energy relative to the elements, uncorrected, the calculation gives 5.31 eV/f.u. The total moment is 0.294 μB/atom. The calculation puts the uncorrected energy at -32.106 eV/atom.

Entry 6:
A crystal of MgRe2Ni relaxed with PBEsol. Source: Alexandria via LeMat-Bulk, functional SCAN.

The space group is R-3m (No. 166, hexagonal axes) and the conventional cell measures 2.7049, 2.7049 and 26.8019 Å, with angles of 90.00, 90.00 and 120.00 degrees. The asymmetric unit holds Mg at (0.0000, 0.0000, 0.0000), Re at (0.0000, 0.0000, 0.2435) and Ni at (0.0000, 0.0000, 0.5000).

The total moment is 0.000 μB/atom. The calculation puts the uncorrected energy at -40.588 eV/atom. Its formation enthalpy at 0 K is 0.25 eV per atom.

Entry 7:
A crystal of Mg2ReNi relaxed with PBEsol. Source: Alexandria via LeMat-Bulk, functional SCAN.

The space group is C2/m (No. 12) and the conventional cell measures 5.397, 8.758 and 2.619 Å, with angles of 90.00, 109.37 and 90.00 degrees. The asymmetric unit holds Mg at (0.250, 0.250, 0.000), Re at (0.000, 0.000, 0.500) and Ni at (0.000, 0.500, 0.500).

As for the offset from the most stable computed form: 5 meV/atom. The total moment is 0.000 μB/atom. The calculation puts the uncorrected energy at -24.082 eV/atom. Its formation enthalpy at 0 K is 0.22 eV per atom.

Entry 8:
A crystal of Mg2ReNi relaxed with PBEsol. Source: Alexandria via LeMat-Bulk, functional SCAN.

The space group is Imm2 (No. 44) and the conventional cell measures 2.710, 4.641 and 9.708 Å, with angles of 90.00, 90.00 and 90.00 degrees. The asymmetric unit holds Mg at (0.000, 0.000, 0.000), Mg at (0.000, 0.500, 0.210), Re at (0.000, 0.000, 0.441) and Ni at (0.000, 0.500, 0.731).

As for the offset from the most stable computed form: 0 meV/atom. The total moment is 0.000 μB/atom. The calculation puts the uncorrected energy at -24.087 eV/atom. Its formation enthalpy at 0 K is 0.22 eV per atom.

Entry 9:
A crystal of Mg2ReNi relaxed with PBEsol. Source: Alexandria via LeMat-Bulk, functional SCAN.

The space group is P4/mmm (No. 123) and the conventional cell measures 4.659, 4.659 and 2.735 Å, with angles of 90.00, 90.00 and 90.00 degrees. The asymmetric unit holds Mg at (0.000, 0.500, 0.000), Re at (0.000, 0.000, 0.500) and Ni at (0.500, 0.500, 0.500).

As for the offset from the most stable computed form: 149 meV/atom. The total moment is 0.000 μB/atom. The calculation puts the uncorrected energy at -23.938 eV/atom. Its formation enthalpy at 0 K is 0.37 eV per atom.

Entry 10:
A crystal of MgReNi6 relaxed with PBEsol. Source: Alexandria via LeMat-Bulk, functional SCAN.

The space group is Cmmm (No. 65) and the conventional cell measures 7.156, 10.089 and 10.095 Å, with angles of 90.00, 90.00 and 90.00 degrees. The asymmetric unit holds Mg at (0.000, 0.000, 0.250), Mg at (0.000, 0.248, 0.000), Re at (0.000, 0.245, 0.500), Re at (0.000, 0.500, 0.242), Ni at (0.000, 0.000, 0.000), Ni at (0.000, 0.000, 0.500), Ni at (0.000, 0.253, 0.257), Ni at (0.000, 0.500, 0.000), Ni at (0.000, 0.500, 0.500), Ni at (0.243, 0.373, 0.378) and Ni at (0.245, 0.376, 0.128).

The total moment is 0.000 μB/atom. The calculation puts the uncorrected energy at -21.654 eV/atom. Its formation enthalpy at 0 K is -0.02 eV per atom.

Entry 11:
A crystal of MgReNi3 relaxed with PBEsol. Source: Alexandria via LeMat-Bulk, functional SCAN.

The space group is Pm-3m (No. 221) and the conventional cell measures 4.099, 4.099 and 4.099 Å, with angles of 90.00, 90.00 and 90.00 degrees. The asymmetric unit holds Mg at (0.000, 0.000, 0.000), Re at (0.500, 0.500, 0.500) and Ni at (0.000, 0.000, 0.500).

The total moment is 0.794 μB/atom. The calculation puts the uncorrected energy at -23.275 eV/atom. Its formation enthalpy at 0 K is 1.64 eV per atom.

Entry 12:
A crystal of MgRe2Ni relaxed with PBEsol. Source: Alexandria via LeMat-Bulk, functional SCAN.

The space group is P2/m (No. 10) and the conventional cell measures 2.605, 4.418 and 4.983 Å, with angles of 90.00, 101.65 and 90.00 degrees. The asymmetric unit holds Mg at (0.000, 0.000, 0.000), Re at (0.289, 0.500, 0.748) and Ni at (0.500, 0.000, 0.500).

The total moment is 0.000 μB/atom. The calculation puts the uncorrected energy at -40.631 eV/atom. Its formation enthalpy at 0 K is 0.20 eV per atom.

Entry 13:
A crystal of MgNiRh2 relaxed with PBEsol. Source: Alexandria via LeMat-Bulk, functional SCAN.

The space group is Pmmm (No. 47) and the conventional cell measures 2.777, 4.317 and 4.462 Å, with angles of 90.00, 90.00 and 90.00 degrees. The asymmetric unit holds Mg at (0.000, 0.000, 0.000), Ni at (0.500, 0.000, 0.500), Rh at (0.000, 0.500, 0.500) and Rh at (0.500, 0.500, 0.000).

The total moment is 0.363 μB/atom. The calculation puts the uncorrected energy at -22.262 eV/atom. Its formation enthalpy at 0 K is -0.09 eV per atom.

Entry 14:
A crystal of MgNiRh relaxed with PBEsol. Source: Alexandria via LeMat-Bulk, functional SCAN.

The space group is P3m1 (No. 156) and the conventional cell measures 2.7266, 2.7266 and 6.2955 Å, with angles of 90.00, 90.00 and 120.00 degrees. The asymmetric unit holds Mg at (0.0000, 0.0000, 0.0000), Ni at (0.3333, 0.6667, 0.6659) and Rh at (0.6667, 0.3333, 0.3490).

The total moment is 0.268 μB/atom. The calculation puts the uncorrected energy at -18.325 eV/atom. Its formation enthalpy at 0 K is -0.02 eV per atom.

Entry 15:
A crystal of MgNi2Rh relaxed with PBEsol. Source: Alexandria via LeMat-Bulk, functional SCAN.

The space group is Cmmm (No. 65) and the conventional cell measures 5.229, 7.101 and 2.663 Å, with angles of 90.00, 90.00 and 90.00 degrees. The asymmetric unit holds Mg at (0.000, 0.000, 0.000), Ni at (0.250, 0.250, 0.500) and Rh at (0.000, 0.500, 0.000).

The total moment is 0.206 μB/atom. The calculation puts the uncorrected energy at -17.873 eV/atom. Its formation enthalpy at 0 K is -0.10 eV per atom.

Entry 16:
A crystal of MgSiNiRh2 relaxed with PBEsol. Source: Alexandria via LeMat-Bulk, functional SCAN.

The space group is P4/mmm (No. 123) and the conventional cell measures 4.385, 4.385 and 4.112 Å, with angles of 90.00, 90.00 and 90.00 degrees. The asymmetric unit holds Mg at (0.000, 0.000, 0.000), Si at (0.500, 0.500, 0.500), Ni at (0.000, 0.000, 0.500) and Rh at (0.000, 0.500, 0.000).

For the energy relative to the elements, uncorrected, the calculation gives 5.82 eV/f.u. The total moment is 0.000 μB/atom. The calculation puts the uncorrected energy at -18.576 eV/atom.

Entry 17:
A crystal of Mg2NiRu relaxed with PBEsol. Source: Alexandria via LeMat-Bulk, functional SCAN.

The space group is C2/m (No. 12) and the conventional cell measures 8.654, 2.681 and 4.984 Å, with angles of 90.00, 98.22 and 90.00 degrees. The asymmetric unit holds Mg at (0.246, 0.000, 0.247), Ni at (0.000, 0.500, 0.000) and Ru at (0.000, 0.000, 0.500).

The total moment is 0.000 μB/atom. The calculation puts the uncorrected energy at -15.140 eV/atom. Its formation enthalpy at 0 K is 0.10 eV per atom.

Entry 18:
A crystal of MgNi2Ru relaxed with PBEsol. Source: Alexandria via LeMat-Bulk, functional SCAN.

The space group is P4/mmm (No. 123) and the conventional cell measures 2.627, 2.627 and 7.267 Å, with angles of 90.00, 90.00 and 90.00 degrees. The asymmetric unit holds Mg at (0.000, 0.000, 0.000), Ni at (0.500, 0.500, 0.264) and Ru at (0.000, 0.000, 0.500).

The total moment is 0.000 μB/atom. The calculation puts the uncorrected energy at -17.984 eV/atom. Its formation enthalpy at 0 K is 0.05 eV per atom.

Entry 19:
A crystal of Mg3NiSb relaxed with PBEsol. Source: Alexandria via LeMat-Bulk, functional SCAN.

The space group is Pm-3m (No. 221) and the conventional cell measures 5.214, 5.214 and 5.214 Å, with angles of 90.00, 90.00 and 90.00 degrees. The asymmetric unit holds Mg at (0.000, 0.000, 0.500), Ni at (0.500, 0.500, 0.500) and Sb at (0.000, 0.000, 0.000).

For the energy relative to the elements, uncorrected, the calculation gives 4.12 eV/f.u. The total moment is 0.223 μB/atom. The calculation puts the uncorrected energy at -12.847 eV/atom.

Entry 20:
A crystal of MgNi6Sb relaxed with PBEsol. Source: Alexandria via LeMat-Bulk, functional SCAN.

The space group is Cmmm (No. 65) and the conventional cell measures 7.262, 10.246 and 10.249 Å, with angles of 90.00, 90.00 and 90.00 degrees. The asymmetric unit holds Mg at (0.000, 0.000, 0.247), Mg at (0.000, 0.249, 0.000), Ni at (0.000, 0.000, 0.000), Ni at (0.000, 0.000, 0.500), Ni at (0.000, 0.248, 0.249), Ni at (0.000, 0.500, 0.000), Ni at (0.000, 0.500, 0.500), Ni at (0.249, 0.127, 0.124), Ni at (0.249, 0.376, 0.374), Sb at (0.000, 0.247, 0.500) and Sb at (0.000, 0.500, 0.244).

For the energy relative to the elements, uncorrected, the calculation gives -0.77 eV/f.u. The total moment is 0.183 μB/atom. The calculation puts the uncorrected energy at -17.506 eV/atom.